# 1
This record from Alexandria via LeMat-Bulk describes Li2TaZn after structural relaxation. The functional is PBE.

Computed properties:
The final energy comes out at -3.96 eV/atom. The value obtained for the formation energy is 0.2786 eV/atom. As for the space group: Cm, No. 8.

```
Li2TaZn
1.0
4.637 -1.309 0.000
4.637 1.309 0.000
-0.646 0.000 5.382
Li Ta Zn
2 1 1
direct
0.000 0.000 0.000 Li
0.241 0.241 0.790 Li
0.762 0.762 0.304 Ta
0.509 0.509 0.519 Zn
```

---

# 2
This record from Alexandria via LeMat-Bulk describes LiTa2Zn after structural relaxation. The functional is PBE.

Computed properties:
The final energy comes out at -6.44 eV/atom. The value obtained for the formation energy is 0.2800 eV/atom. As for the space group: R-3m, No. 166.

```
LiTa2Zn
1.0
1.404 0.811 10.140
-1.404 0.811 10.140
0.000 -1.621 10.140
Li Ta Zn
1 2 1
direct
0.000 0.000 0.000 Li
0.247 0.247 0.247 Ta
0.753 0.753 0.753 Ta
0.500 0.500 0.500 Zn
```

---

# 3
This record from Alexandria via LeMat-Bulk describes Li2TaZn after structural relaxation. The functional is PBE.

Computed properties:
The final energy comes out at -4.11 eV/atom. The value obtained for the formation energy is 0.1331 eV/atom. As for the space group: P4mm, No. 99.

```
Li2TaZn
1.0
2.809 0.000 0.000
0.000 2.809 0.000
0.000 0.000 8.403
Li Ta Zn
2 1 1
direct
0.000 0.000 0.000 Li
0.500 0.500 0.268 Li
0.000 0.000 0.545 Ta
0.500 0.500 0.783 Zn
```

---

# 4
This record from Alexandria via LeMat-Bulk describes Li2TaZn after structural relaxation. The functional is PBE.

Computed properties:
The final energy comes out at -3.95 eV/atom. The value obtained for the formation energy is 0.2855 eV/atom. As for the space group: Pmmm, No. 47.

```
Li2TaZn
1.0
2.640 0.000 0.000
0.000 4.290 0.000
0.000 0.000 5.584
Li Ta Zn
2 1 1
direct
0.000 0.000 0.234 Li
0.000 0.000 0.766 Li
0.500 0.500 0.500 Ta
0.500 0.500 0.000 Zn
```

---

# 5
This record from Alexandria via LeMat-Bulk describes LiTaZn after structural relaxation. The functional is PBE.

Computed properties:
The polymorph energy (0 for the lowest one) comes out at 200 meV/atom. The final energy comes out at -4.84 eV/atom. The value obtained for the formation energy is 0.1741 eV/atom. As for the space group: P3m1, No. 156.

```
LiTaZn
1.0
2.803 0.000 0.000
-1.402 2.428 0.000
0.000 0.000 7.369
Li Ta Zn
1 1 1
direct
0.000 0.000 0.000 Li
0.667 0.333 0.355 Ta
0.333 0.667 0.687 Zn
```

---

# 6
This record from Alexandria via LeMat-Bulk describes LiTaZn after structural relaxation. The functional is PBE.

Computed properties:
The polymorph energy (0 for the lowest one) comes out at 762 meV/atom. The final energy comes out at -4.28 eV/atom. The value obtained for the formation energy is 0.7361 eV/atom. As for the space group: F-43m, No. 216.

```
LiTaZn
1.0
0.000 2.970 2.970
2.970 0.000 2.970
2.970 2.970 0.000
Li Ta Zn
1 1 1
direct
0.000 0.000 0.000 Li
0.500 0.500 0.500 Ta
0.250 0.250 0.250 Zn
```

---

# 7
This record from Alexandria via LeMat-Bulk describes Li2TaZn after structural relaxation. The functional is PBE.

Computed properties:
The final energy comes out at -3.98 eV/atom. The value obtained for the formation energy is 0.2570 eV/atom. As for the space group: Pmmm, No. 47.

```
Li2TaZn
1.0
2.696 0.000 0.000
0.000 4.884 0.000
0.000 0.000 4.973
Li Ta Zn
2 1 1
direct
0.000 0.000 0.000 Li
0.500 0.500 0.000 Li
0.000 0.500 0.500 Ta
0.500 0.000 0.500 Zn
```

---

# 8
This record from Alexandria via LeMat-Bulk describes LiTa2Zn after structural relaxation. The functional is PBE.

Computed properties:
The final energy comes out at -6.52 eV/atom. The value obtained for the formation energy is 0.2038 eV/atom. As for the space group: Pm, No. 6.

```
LiTa2Zn
1.0
2.645 0.000 0.000
0.000 4.448 0.000
-1.306 0.000 5.595
Li Ta Zn
1 2 1
direct
0.000 0.000 0.000 Li
0.264 0.000 0.513 Ta
0.631 0.500 0.249 Ta
0.894 0.500 0.769 Zn
```

---

# 9
This record from Alexandria via LeMat-Bulk describes LiTa2Zn after structural relaxation. The functional is PBE.

Computed properties:
The final energy comes out at -6.50 eV/atom. The value obtained for the formation energy is 0.2263 eV/atom. As for the space group: Cm, No. 8.

```
LiTa2Zn
1.0
4.973 -1.452 0.000
4.973 1.452 0.000
-1.950 0.000 4.551
Li Ta Zn
1 2 1
direct
0.000 0.000 0.000 Li
0.237 0.237 0.611 Ta
0.481 0.481 0.482 Ta
0.734 0.734 0.096 Zn
```

---

# 10
This record from Alexandria via LeMat-Bulk describes Li2TaZn2 after structural relaxation. The functional is PBE.

Computed properties:
The polymorph energy (0 for the lowest one) comes out at 95 meV/atom. The final energy comes out at -3.48 eV/atom. The value obtained for the formation energy is 0.1636 eV/atom. As for the space group: P4/mbm, No. 127.

```
Li2TaZn2
1.0
7.463 0.000 0.000
0.000 7.463 0.000
0.000 0.000 2.679
Li Ta Zn
4 2 4
direct
0.163 0.337 0.000 Li
0.337 0.837 0.000 Li
0.663 0.163 0.000 Li
0.837 0.663 0.000 Li
0.000 0.000 0.500 Ta
0.500 0.500 0.500 Ta
0.137 0.637 0.500 Zn
0.363 0.137 0.500 Zn
0.637 0.863 0.500 Zn
0.863 0.363 0.500 Zn
```

---

# 11
This record from Alexandria via LeMat-Bulk describes LiTaZn after structural relaxation. The functional is PBE.

Computed properties:
The polymorph energy (0 for the lowest one) comes out at 184 meV/atom. The final energy comes out at -4.85 eV/atom. The value obtained for the formation energy is 0.1588 eV/atom. As for the space group: P1, No. 1.

```
LiTaZn
1.0
2.718 0.000 0.000
0.142 4.991 0.000
0.393 0.343 7.021
Li Ta Zn
2 2 2
direct
0.000 0.000 0.000 Li
0.478 0.154 0.689 Li
0.447 0.499 0.049 Ta
0.536 0.836 0.346 Ta
0.983 0.654 0.699 Zn
0.988 0.323 0.382 Zn
```

---

# 12
This record from Alexandria via LeMat-Bulk describes Li2TaZn after structural relaxation. The functional is PBE.

Computed properties:
The final energy comes out at -3.75 eV/atom. The value obtained for the formation energy is 0.4911 eV/atom. As for the space group: I4/mmm, No. 139.

```
Li2TaZn
1.0
-1.898 1.898 4.583
1.898 -1.898 4.583
1.898 1.898 -4.583
Li Ta Zn
2 1 1
direct
0.250 0.750 0.500 Li
0.750 0.250 0.500 Li
0.000 0.000 0.000 Ta
0.500 0.500 0.000 Zn
```

---

Number 12 is which compound?
Li2TaZn

---

Look up the final energy of the eighth one.
-6.52 eV/atom

---

What is the final energy in the eighth record?
-6.52 eV/atom

---

Repeat the seventh record exactly.
This record from Alexandria via LeMat-Bulk describes Li2TaZn after structural relaxation. The functional is PBE.

Computed properties:
The final energy comes out at -3.98 eV/atom. The value obtained for the formation energy is 0.2570 eV/atom. As for the space group: Pmmm, No. 47.

```
Li2TaZn
1.0
2.696 0.000 0.000
0.000 4.884 0.000
0.000 0.000 4.973
Li Ta Zn
2 1 1
direct
0.000 0.000 0.000 Li
0.500 0.500 0.000 Li
0.000 0.500 0.500 Ta
0.500 0.000 0.500 Zn
```